(1)
# Zr6FePt2 GGA-PBE optimized geometry
# crystal system = orthorhombic
# DOS(E_F) = 17.53 states/eV/cell
# ΔH_f (0 K) = -0.537 eV/atom
data_Zr6FePt2
_cell_length_a 3.447
_cell_length_b 13.785
_cell_length_c 7.530
_cell_angle_alpha 90.00
_cell_angle_beta 90.00
_cell_angle_gamma 90.00
_space_group_name_H-M_alt 'A m m 2'
_space_group_IT_number 38
loop_
_space_group_symop_operation_xyz
'x,y,z'
'-x,-y,z'
'-x,y,z'
'x,-y,z'
'x,y+1/2,z+1/2'
'-x,-y+1/2,z+1/2'
'-x,y+1/2,z+1/2'
'x,-y+1/2,z+1/2'
loop_
_atom_site_label
_atom_site_type_symbol
_atom_site_fract_x
_atom_site_fract_y
_atom_site_fract_z
Zr1 Zr 0.000 0.000 0.000
Zr2 Zr 0.000 0.128 0.659
Zr3 Zr 0.500 0.000 0.358
Zr4 Zr 0.500 0.196 0.996
Fe1 Fe 0.500 0.000 0.732
Pt1 Pt 0.000 0.161 0.290


(2)
# ZrFe2Pt8 GGA-PBE optimized geometry
# crystal system = triclinic
# DOS(E_F) = 7.69 states/eV/cell
# ΔH_f (0 K) = -0.225 eV/atom
data_ZrFe2Pt8
_cell_length_a 4.668
_cell_length_b 5.171
_cell_length_c 7.614
_cell_angle_alpha 84.87
_cell_angle_beta 89.31
_cell_angle_gamma 89.34
_space_group_name_H-M_alt 'P -1'
_space_group_IT_number 2
loop_
_space_group_symop_operation_xyz
'x,y,z'
'-x,-y,-z'
loop_
_atom_site_label
_atom_site_type_symbol
_atom_site_fract_x
_atom_site_fract_y
_atom_site_fract_z
Zr1 Zr 0.000 0.000 0.000
Fe1 Fe 0.238 0.165 0.357
Pt1 Pt 0.058 0.504 0.819
Pt2 Pt 0.245 0.652 0.469
Pt3 Pt 0.280 0.071 0.682
Pt4 Pt 0.484 0.253 0.043


(3)
# Zr4FePt GGA-PBE optimized geometry
# ΔE to the lowest computed polymorph = 0.854 eV per atom
# crystal system = cubic
# DOS(E_F) = 34.08 states/eV/cell
# ΔH_f (0 K) = 0.402 eV/atom
data_Zr4FePt
_cell_length_a 7.875
_cell_length_b 7.875
_cell_length_c 7.875
_cell_angle_alpha 90.00
_cell_angle_beta 90.00
_cell_angle_gamma 90.00
_space_group_name_H-M_alt 'F -4 3 m'
_space_group_IT_number 216
_space_group_name_Hall 'F -4 2 3'
loop_
_atom_site_label
_atom_site_type_symbol
_atom_site_fract_x
_atom_site_fract_y
_atom_site_fract_z
Zr1 Zr 0.125 0.125 0.125
Fe1 Fe 0.250 0.250 0.750
Pt1 Pt 0.000 0.000 0.500


(4)
# ZrFePt GGA-PBE optimized geometry
# crystal system = orthorhombic
# DOS(E_F) = 6.97 states/eV/cell
# ΔH_f (0 K) = -0.491 eV/atom
data_ZrFePt
_cell_length_a 3.351
_cell_length_b 15.935
_cell_length_c 3.717
_cell_angle_alpha 90.00
_cell_angle_beta 90.00
_cell_angle_gamma 90.00
_space_group_name_H-M_alt 'C m c m'
_space_group_IT_number 63
_space_group_name_Hall '-C 2c 2'
loop_
_atom_site_label
_atom_site_type_symbol
_atom_site_fract_x
_atom_site_fract_y
_atom_site_fract_z
Zr1 Zr 0.000 0.116 0.250
Fe1 Fe 0.000 0.466 0.250
Pt1 Pt 0.000 0.301 0.250


(5)
# Zr2FePt GGA-PBE optimized geometry
# ΔE to the lowest computed polymorph = 0.165 eV per atom
# crystal system = orthorhombic
# DOS(E_F) = 8.71 states/eV/cell
# ΔH_f (0 K) = -0.400 eV/atom
data_Zr2FePt
_cell_length_a 3.605
_cell_length_b 4.266
_cell_length_c 9.283
_cell_angle_alpha 90.00
_cell_angle_beta 90.00
_cell_angle_gamma 90.00
_space_group_name_H-M_alt 'I m m 2'
_space_group_IT_number 44
loop_
_space_group_symop_operation_xyz
'x,y,z'
'-x,-y,z'
'-x,y,z'
'x,-y,z'
'x+1/2,y+1/2,z+1/2'
'-x+1/2,-y+1/2,z+1/2'
'-x+1/2,y+1/2,z+1/2'
'x+1/2,-y+1/2,z+1/2'
loop_
_atom_site_label
_atom_site_type_symbol
_atom_site_fract_x
_atom_site_fract_y
_atom_site_fract_z
Zr1 Zr 0.000 0.000 0.000
Zr2 Zr 0.000 0.500 0.241
Fe1 Fe 0.000 0.500 0.739
Pt1 Pt 0.000 0.000 0.489


(6)
# Zr2FePt GGA-PBE optimized geometry
# ΔE to the lowest computed polymorph = 0.030 eV per atom
# crystal system = tetragonal
# DOS(E_F) = 4.09 states/eV/cell
# ΔH_f (0 K) = -0.534 eV/atom
data_Zr2FePt
_cell_length_a 4.593
_cell_length_b 4.593
_cell_length_c 3.384
_cell_angle_alpha 90.00
_cell_angle_beta 90.00
_cell_angle_gamma 90.00
_space_group_name_H-M_alt 'P 4/m m m'
_space_group_IT_number 123
_space_group_name_Hall '-P 4 2'
loop_
_atom_site_label
_atom_site_type_symbol
_atom_site_fract_x
_atom_site_fract_y
_atom_site_fract_z
Zr1 Zr 0.000 0.500 0.000
Fe1 Fe 0.000 0.000 0.500
Pt1 Pt 0.500 0.500 0.500


DFT total energy? In order: -153.324, -76.271, -185.146, -98.094, -66.399, -33.736 eV per cell.